Entry 1:
DFT (PBE-GGA) results for a relaxed Ac2Ga5Ir3 crystal.

a = 8.8203 Å, b = 8.8203 Å, c = 8.8203 Å
α = 107.16°, β = 86.34°, γ = 140.25°
With the nearest neighbours (Å) after each atom.
Positions (direct):
Ac  0.1348  0.2279  0.3627  10 Ga 3.20-3.54, 4 Ir 3.27-3.48
Ac  0.3652  0.7279  0.0931  10 Ga 3.20-3.54, 4 Ir 3.27-3.48
Ac  0.6348  0.2721  0.9069  10 Ga 3.20-3.54, 4 Ir 3.27-3.48
Ac  0.8652  0.7721  0.6373  10 Ga 3.20-3.54, 4 Ir 3.27-3.48
Ga  0.0361  0.7500  0.2861  3 Ir 2.61-2.75, 2 Ga 2.70
Ga  0.0957  0.6582  0.7539  3 Ir 2.55-2.56, 2 Ga 2.70
Ga  0.2500  0.2500  0.0000  4 Ir 2.61
Ga  0.4043  0.1582  0.5625  3 Ir 2.55-2.56, 2 Ga 2.70
Ga  0.4639  0.7500  0.7139  3 Ir 2.61-2.75, 2 Ga 2.70
Ga  0.5361  0.2500  0.2861  3 Ir 2.61-2.75, 2 Ga 2.70
Ga  0.5957  0.8418  0.4375  3 Ir 2.55-2.56, 2 Ga 2.70
Ga  0.7500  0.7500  0.0000  4 Ir 2.61
Ga  0.9043  0.3418  0.2461  3 Ir 2.55-2.56, 2 Ga 2.70
Ga  0.9639  0.2500  0.7139  3 Ir 2.61-2.75, 2 Ga 2.70
Ir  0.1429  0.8957  0.0386  5 Ga 2.56-2.61
Ir  0.2500  0.7500  0.5000  6 Ga 2.55-2.75
Ir  0.3571  0.3957  0.7528  5 Ga 2.56-2.61
Ir  0.6429  0.6043  0.2472  5 Ga 2.56-2.61
Ir  0.7500  0.2500  0.5000  6 Ga 2.55-2.75
Ir  0.8571  0.1043  0.9614  5 Ga 2.56-2.61

Total energy   -5.682 eV per atom
ΔH_f (0 K)   -0.689 eV/atom

Entry 2:
DFT (PBE-GGA) results for a relaxed Al2In2Ir crystal.

a = 6.5711 Å, b = 6.5711 Å, c = 4.5408 Å
α = 90.00°, β = 90.00°, γ = 90.00°
With the nearest neighbours (Å) after each atom.
Positions (direct):
Al  0.1454  0.3546  0.0000  2 Ir 2.52, 1 Al 2.70
Al  0.3546  0.8546  0.0000  2 Ir 2.52, 1 Al 2.70
Al  0.6454  0.1454  0.0000  2 Ir 2.52, 1 Al 2.70
Al  0.8546  0.6454  0.0000  2 Ir 2.52, 1 Al 2.70
In  0.1726  0.6726  0.5000  6 Al 2.83-3.09
In  0.3274  0.1726  0.5000  6 Al 2.83-3.09
In  0.6726  0.8274  0.5000  6 Al 2.83-3.09
In  0.8274  0.3274  0.5000  6 Al 2.83-3.09
Ir  0.0000  0.0000  0.0000  4 Al 2.52
Ir  0.5000  0.5000  0.0000  4 Al 2.52

Total energy   -4.334 eV per atom
ΔH_f (0 K)   0.031 eV/atom

Which formula does entry 1 have?
Ac2Ga5Ir3